[1]
The following is a DFT calculation (PBE) of NiSe2S after structural relaxation.

Values from the calculation:
Raw total energy, eV/atom: -4.32

Unit cell a=3.615 b=6.110 c=9.230 alpha=80.51 beta=88.55 gamma=89.86
Space group P1 (No. 1)
Symmetry-distinct sites (fractional):
Ni 0.000 0.000 0.000 [1 per cell]
Ni 0.498 0.500 0.997 [1 per cell]
Se 0.007 0.368 0.864 [1 per cell]
Se 0.492 0.131 0.133 [1 per cell]
Se 0.508 0.871 0.864 [1 per cell]
Se 0.990 0.629 0.133 [1 per cell]
S 0.017 0.661 0.485 [1 per cell]
S 0.441 0.843 0.513 [1 per cell]

---

[2]
The following is a DFT calculation (PBE) of NiSeS after structural relaxation.

Values from the calculation:
Energy above the lowest structure with this stoichiometry, meV/atom: 17

Unit cell a=3.610 b=4.750 c=5.810 alpha=90.00 beta=90.00 gamma=90.00
Space group Pmn2_1 (No. 31)
Symmetry-distinct sites (fractional):
Ni 0.000 0.228 0.000 [2 per cell]
Se 0.000 0.449 0.616 [2 per cell]
S 0.000 0.050 0.379 [2 per cell]

---

[3]
The following is a DFT calculation (PBE) of NiSe3S after structural relaxation.

Values from the calculation:
Energy above the lowest structure with this stoichiometry, meV/atom: 326

Unit cell a=4.810 b=4.810 c=4.810 alpha=90.00 beta=90.00 gamma=90.00
Space group Pm-3m (No. 221)
Symmetry-distinct sites (fractional):
Ni 0.000 0.000 0.000 [1 per cell]
Se 0.000 0.500 0.500 [3 per cell]
S 0.500 0.500 0.500 [1 per cell]

---

[4]
The following is a DFT calculation (PBE) of Ni2SeS3 after structural relaxation.

Values from the calculation:
Raw total energy, eV/atom: -4.80

Unit cell a=6.8856 b=6.8856 c=4.8288 alpha=90.00 beta=90.00 gamma=120.00
Space group P-3m1 (No. 164)
Symmetry-distinct sites (fractional):
Ni 0.0000 0.0000 0.0000 [1 per cell]
Ni 0.0000 0.5000 0.0000 [3 per cell]
Se 0.3333 0.6667 0.2871 [2 per cell]
S 0.1696 0.3391 0.7735 [6 per cell]

---

[5]
The following is a DFT calculation (PBE) of NiSe2S after structural relaxation.

Values from the calculation:
Raw total energy, eV/atom: -4.21

Unit cell a=3.6629 b=3.6629 c=21.2718 alpha=90.00 beta=90.00 gamma=120.00
Space group R-3m (No. 166, hexagonal axes)
Symmetry-distinct sites (fractional):
Ni 0.0000 0.0000 0.0000 [3 per cell]
Se 0.0000 0.0000 0.3901 [6 per cell]
S 0.0000 0.0000 0.5000 [3 per cell]

---

[6]
The following is a DFT calculation (PBE) of Ni3Se2S after structural relaxation.

Values from the calculation:
Raw total energy, eV/atom: -4.94

Unit cell a=5.412 b=4.813 c=7.467 alpha=90.00 beta=98.99 gamma=90.00
Space group P2_1/m (No. 11)
Symmetry-distinct sites (fractional):
Ni 0.000 0.000 0.000 [2 per cell]
Ni 0.170 0.250 0.501 [2 per cell]
Ni 0.424 0.750 0.882 [2 per cell]
Se 0.271 0.250 0.828 [2 per cell]
Se 0.272 0.750 0.555 [2 per cell]
S 0.208 0.250 0.215 [2 per cell]

---

[7]
The following is a DFT calculation (PBE) of NiSeS6 after structural relaxation.

Values from the calculation:
Raw total energy, eV/atom: -4.19

Unit cell a=5.778 b=5.817 c=7.111 alpha=80.94 beta=80.85 gamma=63.96
Space group P-1 (No. 2)
Symmetry-distinct sites (fractional):
Ni 0.000 0.000 0.000 [1 per cell]
Se 0.000 0.000 0.500 [1 per cell]
S 0.179 0.702 0.232 [2 per cell]
S 0.299 0.819 0.768 [2 per cell]
S 0.422 0.423 0.807 [2 per cell]

---

[8]
The following is a DFT calculation (PBE) of NiSeS after structural relaxation.

Values from the calculation:
Energy above the lowest structure with this stoichiometry, meV/atom: 24

Unit cell a=5.785 b=5.785 c=5.785 alpha=90.00 beta=90.00 gamma=90.00
Space group P2_13 (No. 198)
Symmetry-distinct sites (fractional):
Ni 0.011 0.011 0.011 [4 per cell]
Se 0.117 0.617 0.883 [4 per cell]
S 0.113 0.887 0.387 [4 per cell]

---

[9]
The following is a DFT calculation (PBE) of NiSeS after structural relaxation.

Values from the calculation:
Energy above the lowest structure with this stoichiometry, meV/atom: 5

Unit cell a=3.4973 b=3.4973 c=4.8323 alpha=90.00 beta=90.00 gamma=120.00
Space group P3m1 (No. 156)
Symmetry-distinct sites (fractional):
Ni 0.0000 0.0000 0.0000 [1 per cell]
Se 0.6667 0.3333 0.2630 [1 per cell]
S 0.3333 0.6667 0.7739 [1 per cell]

---

[10]
The following is a DFT calculation (PBE) of NiSeS after structural relaxation.

Values from the calculation:
Energy above the lowest structure with this stoichiometry, meV/atom: 0

Unit cell a=6.137 b=3.538 c=9.806 alpha=90.00 beta=101.94 gamma=90.00
Space group C2/m (No. 12)
Symmetry-distinct sites (fractional):
Ni 0.088 0.000 0.268 [4 per cell]
Se 0.210 0.500 0.134 [4 per cell]
S 0.041 0.500 0.619 [4 per cell]